The following is a DFT calculation (PBEsol) of a geometry-optimized CaBe3 structure.

ρ = 1970 kg/m3
SG = Pmm2
ΔE_f = 466.2 meV per atom

abc: 2.6656 3.6431 5.8247
angles: 90.00 90.00 90.00
Last column: nearest neighbours and their distance in Å.
Fractional coordinates of all 4 atoms:
1 Be 0.5000 0.5000 0.8238  6 Be 2.19-2.31
2 Be 0.0000 0.0000 0.9052  6 Be 2.15-2.31
3 Be 0.5000 0.0000 0.6161  4 Be 2.15-2.19
4 Ca 0.0000 0.5000 0.3216  2 Ca 2.67, 4 Be 2.83

The following is a DFT calculation (PBEsol) of a geometry-optimized YSbNO2 structure.

E_form (uncorrected) = -0.6562 eV per atom
ρ = 5484 kg/m3
SG = P4/mmm

abc: 4.2197 4.2197 4.3652
angles: 90.00 90.00 90.00
Last column: nearest neighbours and their distance in Å.
Fractional coordinates of all 5 atoms:
1 O 0.0000 0.5000 0.0000  2 Y 2.11
2 O 0.5000 0.0000 0.0000  2 Y 2.11
3 N 0.0000 0.0000 0.5000  2 Y 2.18
4 Y 0.0000 0.0000 0.0000  4 O 2.11, 2 N 2.18
5 Sb 0.5000 0.5000 0.5000  4 N 2.98, 8 O 3.04

The following is a DFT calculation (PBEsol) of a geometry-optimized InMoSe2Br structure.

E_form (uncorrected) = -0.0962 eV per atom
ρ = 5912 kg/m3
SG = P4/mmm

abc: 4.8398 4.8398 5.3787
angles: 90.00 90.00 90.00
Last column: nearest neighbours and their distance in Å.
Fractional coordinates of all 5 atoms:
1 Mo 0.0000 0.0000 0.0000  4 Se 2.42, 2 Br 2.69
2 Se 0.0000 0.5000 0.0000  2 Mo 2.42
3 Se 0.5000 0.0000 0.0000  2 Mo 2.42
4 In 0.5000 0.5000 0.5000  4 Br 3.42, 8 Se 3.62
5 Br 0.0000 0.0000 0.5000  2 Mo 2.69

The following is a DFT calculation (PBEsol) of a geometry-optimized ZrTe2Rh structure.

E_form (uncorrected) = -0.4079 eV per atom
ρ = 8884 kg/m3
SG = P2/m

abc: 3.5614 3.6134 6.6549
angles: 101.26 90.00 90.00
Last column: nearest neighbours and their distance in Å.
Fractional coordinates of all 4 atoms:
1 Zr 0.5000 0.5000 0.5000  8 Te 2.97-3.08
2 Rh 0.5000 0.5000 0.0000  4 Te 2.63
3 Te 0.0000 0.1169 0.7516  2 Rh 2.63
4 Te 0.0000 0.8831 0.2484  2 Rh 2.63

The following is a DFT calculation (PBEsol) of a geometry-optimized Li2ZrF6 structure.

E_form (uncorrected) = -3.4484 eV per atom
ρ = 3690 kg/m3
SG = P-31m

abc: 4.6266 4.9608 4.9608
angles: 120.00 90.00 90.00
Last column: nearest neighbours and their distance in Å.
Fractional coordinates of all 9 atoms:
1 Zr 0.0000 0.0000 0.0000  6 F 2.02
2 F 0.7435 0.6704 0.6704  2 Li 2.01, 1 Zr 2.02
3 F 0.2565 0.3296 0.3296  2 Li 2.01, 1 Zr 2.02
4 F 0.2565 0.6704 0.0000  2 Li 2.01, 1 Zr 2.02
5 F 0.7435 0.0000 0.3296  2 Li 2.01, 1 Zr 2.02
6 F 0.2565 0.0000 0.6704  2 Li 2.01, 1 Zr 2.02
7 F 0.7435 0.3296 0.0000  2 Li 2.01, 1 Zr 2.02
8 Li 0.5000 0.6667 0.3333  6 F 2.01
9 Li 0.5000 0.3333 0.6667  6 F 2.01

The following is a DFT calculation (PBEsol) of a geometry-optimized Tl2TeI structure.

E_form (uncorrected) = -0.2391 eV per atom
ρ = 8750 kg/m3
SG = Fm-3m

abc: 5.6253 5.6253 5.6253
angles: 60.00 60.00 60.00
Last column: nearest neighbours and their distance in Å.
Fractional coordinates of all 4 atoms:
1 Te 0.0000 0.0000 0.0000  8 Tl 3.44
2 I 0.5000 0.5000 0.5000  8 Tl 3.44
3 Tl 0.2500 0.2500 0.2500  4 Te 3.44, 4 I 3.44
4 Tl 0.7500 0.7500 0.7500  4 Te 3.44, 4 I 3.44

The following is a DFT calculation (PBEsol) of a geometry-optimized BaSrCo2 structure.

ρ = 5656 kg/m3
SG = P4mm
ΔE_f = 495.6 meV per atom

abc: 3.3650 3.3650 8.8878
angles: 90.00 90.00 90.00
Last column: nearest neighbours and their distance in Å.
Fractional coordinates of all 4 atoms:
1 Ba 0.5000 0.5000 0.8344  1 Co 2.83
2 Co 0.0000 0.0000 0.1033  4 Co 2.42
3 Co 0.5000 0.5000 0.1526  4 Co 2.42
4 Sr 0.0000 0.0000 0.4098  1 Co 2.72

The following is a DFT calculation (PBEsol) of a geometry-optimized K2TlHg structure.

ρ = 5203 kg/m3
SG = Pm
ΔE_f = -119.0 meV per atom

abc: 4.8079 5.0467 6.7916
angles: 90.00 110.66 90.00
Last column: nearest neighbours and their distance in Å.
Fractional coordinates of all 4 atoms:
1 K 0.0272 0.0000 0.9297  3 Tl 3.59-3.69, 4 Hg 3.68-3.69
2 K 0.7221 0.5000 0.3186  3 Hg 3.61-3.67, 4 Tl 3.69
3 Tl 0.3177 0.0000 0.5099  2 Hg 2.92
4 Hg 0.4330 0.5000 0.7418  2 Tl 2.92

The following is a DFT calculation (PBEsol) of a geometry-optimized SrPtW2 structure.

ρ = 14725 kg/m3
SG = Pmmm
ΔE_f = 766.5 meV per atom

abc: 2.9428 4.7491 5.2479
angles: 90.00 90.00 90.00
Last column: nearest neighbours and their distance in Å.
Fractional coordinates of all 4 atoms:
1 Pt 0.5000 0.0000 0.5000  4 Sr 2.79, 2 Pt 2.94, 4 W 3.01
2 Sr 0.0000 0.5000 0.5000  4 Pt 2.79, 2 Sr 2.94, 4 W 3.01
3 W 0.5000 0.5000 0.0000  6 W 2.79-2.94, 4 Sr 3.01
4 W 0.0000 0.0000 0.0000  6 W 2.79-2.94, 4 Pt 3.01

The following is a DFT calculation (PBEsol) of a geometry-optimized ReIrOs structure.

ρ = 18773 kg/m3
SG = F-43m
ΔE_f = 508.2 meV per atom

abc: 4.1434 4.1434 4.1434
angles: 60.00 60.00 60.00
Last column: nearest neighbours and their distance in Å.
Fractional coordinates of all 3 atoms:
1 Re 0.2500 0.2500 0.2500  4 Os 2.54, 4 Ir 2.54
2 Ir 0.0000 0.0000 0.0000  4 Re 2.54
3 Os 0.5000 0.5000 0.5000  4 Re 2.54

The following is a DFT calculation (PBEsol) of a geometry-optimized Tl2HgOs structure.

ρ = 15100 kg/m3
SG = Cmmm
ΔE_f = 712.1 meV per atom

abc: 2.9795 2.9795 11.1344
angles: 90.00 90.00 117.18
Last column: nearest neighbours and their distance in Å.
Fractional coordinates of all 4 atoms:
1 Os 0.5000 0.5000 0.0000  4 Tl 2.87, 6 Os 2.98-3.11
2 Hg 0.5000 0.5000 0.5000  6 Hg 2.98-3.11
3 Tl 0.0000 0.0000 0.7832  2 Os 2.87, 6 Tl 2.98-3.11
4 Tl 0.0000 0.0000 0.2168  2 Os 2.87, 6 Tl 2.98-3.11

The following is a DFT calculation (PBEsol) of a geometry-optimized Y2CoRu3 structure.

ρ = 9075 kg/m3
SG = R-3m
ΔE_f = -252.9 meV per atom

abc: 5.1945 5.1945 5.1838
angles: 59.93 59.93 60.00
Last column: nearest neighbours and their distance in Å.
Fractional coordinates of all 6 atoms:
1 Y 0.8752 0.8752 0.3743  9 Ru 3.04, 3 Co 3.05, 4 Y 3.17-3.18
2 Y 0.1248 0.1248 0.6257  9 Ru 3.04, 3 Co 3.05, 4 Y 3.17-3.18
3 Ru 0.5000 0.5000 0.0000  2 Co 2.59, 4 Ru 2.60
4 Ru 0.0000 0.5000 0.0000  2 Co 2.59, 4 Ru 2.60
5 Ru 0.5000 0.0000 0.0000  2 Co 2.59, 4 Ru 2.60
6 Co 0.5000 0.5000 0.5000  6 Ru 2.59

The following is a DFT calculation (PBEsol) of a geometry-optimized ZnCd3Pb structure.

ρ = 5732 kg/m3
SG = Pm-3m
ΔE_f = 652.3 meV per atom

abc: 5.6112 5.6112 5.6112
angles: 90.00 90.00 90.00
Last column: nearest neighbours and their distance in Å.
Fractional coordinates of all 5 atoms:
1 Cd 0.0000 0.5000 0.0000  2 Pb 2.81
2 Cd 0.5000 0.0000 0.0000  2 Pb 2.81
3 Cd 0.0000 0.0000 0.5000  2 Pb 2.81
4 Pb 0.0000 0.0000 0.0000  6 Cd 2.81
5 Zn 0.5000 0.5000 0.5000  12 Cd 3.97